(1)
# SiPbCl4 | Alexandria via LeMat-Bulk | GGA-PBE | relaxed
# crystal system	cubic
# N(E_F)	26.183	states/eV per cell
# E_form (uncorrected)	0.4833	eV per atom
data_SiPbCl4
_symmetry_space_group_name_H-M 'F -4 3 m'
_symmetry_Int_Tables_number 216
_symmetry_space_group_name_Hall 'F -4 2 3'
_cell_length_a 8.404
_cell_length_b 8.404
_cell_length_c 8.404
_cell_angle_alpha 90.00
_cell_angle_beta 90.00
_cell_angle_gamma 90.00
loop_
_atom_site_label
_atom_site_type_symbol
_atom_site_fract_x
_atom_site_fract_y
_atom_site_fract_z
_atom_site_occupancy
Si1 Si 0.000 0.000 0.000 1
Pb1 Pb 0.250 0.250 0.250 1
Cl1 Cl 0.125 0.125 0.625 1

(2)
# BaZr2Pt | Alexandria via LeMat-Bulk | GGA-PBE | relaxed
# formation energy	0.261	eV per atom
# crystal system	tetragonal
# N(E_F)	4.978	states/eV per cell
data_BaZr2Pt
_symmetry_space_group_name_H-M 'P 4/m m m'
_symmetry_Int_Tables_number 123
_symmetry_space_group_name_Hall '-P 4 2'
_cell_length_a 5.157
_cell_length_b 5.157
_cell_length_c 3.395
_cell_angle_alpha 90.00
_cell_angle_beta 90.00
_cell_angle_gamma 90.00
loop_
_atom_site_label
_atom_site_type_symbol
_atom_site_fract_x
_atom_site_fract_y
_atom_site_fract_z
_atom_site_occupancy
Ba1 Ba 0.000 0.000 0.000 1
Zr1 Zr 0.000 0.500 0.500 1
Pt1 Pt 0.500 0.500 0.000 1

no.,calculated volume (Å³/atom)
1,24.7
2,22.6